This record from the Alexandria database describes a relaxed structure of AcAlZn. The functional is PBE-GGA.

Structure (POSCAR):
```
AcAlZn
1.0
3.5702 0.0000 0.0000
0.0000 3.5702 0.0000
-1.7851 -1.7851 5.9123
Ac Zn Al
1 1 1
Direct
0.9979 0.9979 0.9958 Ac
0.3037 0.3037 0.6074 Zn
0.6984 0.6984 0.3968 Al
```

## Properties
calculated volume	75.4	Å³ per cell
ΔE_f	-2.4	kcal/mol of atoms
N(E_F)	0.577	states/eV per atom
size of the total moment	0.00	μB/cell